Record 1
VASP calculation (PBE-GGA) on a relaxed structure of Y3HRh8. Values from VASP.

Calculated values
- SG: No. 160
- DFT total energy: -7.277 eV per atom
- Mass density: 8.57 g/cm³

Geometry as Quantum ESPRESSO input:
```
&SYSTEM
  ibrav = 0, nat = 12, ntyp = 3
/
ATOMIC_SPECIES
Y 88.91 Y.upf
H 1.01 H.upf
Rh 102.91 Rh.upf
CELL_PARAMETERS angstrom
-4.884 0.472 -2.037
-2.254 -4.123 -2.480
-5.762 -3.876 5.989
ATOMIC_POSITIONS crystal
Y 0.619 0.619 0.144
Y 0.008 0.008 0.975
Y 0.487 0.487 0.540
H 0.186 0.186 0.443
Rh 0.557 0.055 0.831
Rh 0.054 0.562 0.329
Rh 0.557 0.557 0.831
Rh 0.054 0.054 0.329
Rh 0.805 0.805 0.585
Rh 0.306 0.306 0.081
Rh 0.055 0.557 0.831
Rh 0.562 0.054 0.329
```

Record 2
VASP calculation (PBE-GGA) on a relaxed structure of BaZrGe3. Values from VASP.

Calculated values
- SG: No. 221
- Offset from the most stable computed form: 0 meV per atom
- Energy of formation from the pure elements: -0.2871 eV/atom
- Mass density: 5.10 g/cm³

Geometry as Quantum ESPRESSO input:
```
&SYSTEM
  ibrav = 0, nat = 5, ntyp = 3
/
ATOMIC_SPECIES
Ge 72.64 Ge.upf
Ba 137.33 Ba.upf
Zr 91.22 Zr.upf
CELL_PARAMETERS angstrom
5.256 0.000 0.000
0.000 5.256 0.000
0.000 0.000 5.256
ATOMIC_POSITIONS crystal
Ge 0.000 0.500 0.000
Ge 0.000 0.000 0.500
Ge 0.500 0.000 0.000
Ba 0.500 0.500 0.500
Zr 0.000 0.000 0.000
```

Record 3
VASP calculation (PBE-GGA) on a relaxed structure of LaZnSb2Te. Values from VASP.

Calculated values
- SG: No. 123
- Offset from the most stable computed form: 0 meV per atom
- Mass density: 6.43 g/cm³
- Formation energy (no corrections): -0.20 eV/atom

Geometry as Quantum ESPRESSO input:
```
&SYSTEM
  ibrav = 0, nat = 5, ntyp = 4
/
ATOMIC_SPECIES
Sb 121.76 Sb.upf
Zn 65.41 Zn.upf
Te 127.60 Te.upf
La 138.91 La.upf
CELL_PARAMETERS angstrom
5.236 0.000 0.000
0.000 5.236 0.000
0.000 0.000 5.418
ATOMIC_POSITIONS crystal
Sb 0.000 0.500 0.000
Sb 0.500 0.000 0.000
Zn 0.000 0.000 0.000
Te 0.000 0.000 0.500
La 0.500 0.500 0.500
```

Record 4
VASP calculation (PBE-GGA) on a relaxed structure of CaCdAg2I6. Values from VASP.

Calculated values
- SG: No. 15
- Mass density: 4.09 g/cm³
- Formation energy (no corrections): -0.70 eV/atom

Geometry as Quantum ESPRESSO input:
```
&SYSTEM
  ibrav = 0, nat = 20, ntyp = 4
/
ATOMIC_SPECIES
Ca 40.08 Ca.upf
Cd 112.41 Cd.upf
Ag 107.87 Ag.upf
I 126.90 I.upf
CELL_PARAMETERS angstrom
7.736 -0.156 -0.162
2.318 10.921 1.687
2.318 1.281 10.976
ATOMIC_POSITIONS crystal
Ca 0.250 0.890 0.110
Ca 0.750 0.110 0.890
Cd 0.250 0.200 0.800
Cd 0.750 0.800 0.200
Ag 0.134 0.686 0.682
Ag 0.366 0.318 0.314
Ag 0.866 0.314 0.318
Ag 0.634 0.682 0.686
I 0.133 0.958 0.834
I 0.367 0.166 0.042
I 0.867 0.042 0.166
I 0.633 0.834 0.958
I 0.428 0.797 0.357
I 0.072 0.643 0.203
I 0.572 0.203 0.643
I 0.928 0.357 0.797
I 0.879 0.822 0.551
I 0.621 0.449 0.178
I 0.121 0.178 0.449
I 0.379 0.551 0.822
```